# 1
A relaxed EuHoEr crystal, computed with PBE-GGA.

The space group is I4mm (No. 107) and the conventional cell measures 3.6164, 3.6164 and 15.3878 Å, with angles of 90.00, 90.00 and 90.00 degrees. Symmetry generates all atoms from Eu at (0.0000, 0.0000, 0.0000), Ho at (0.0000, 0.0000, 0.6755) and Er at (0.0000, 0.0000, 0.3251).

The volume is 33.54 Å³ per atom. The calculation puts the magnetic moment at 2.372 μB per atom. The formation energy is 19 kJ/mol of formula units. The calculation puts the energy above the most stable polymorph in this dataset at 2.6 meV per atom.

# 2
A relaxed Eu2HoEr crystal, computed with PBE-GGA.

The space group is Fm-3m (No. 225) and the conventional cell measures 8.2226, 8.2226 and 8.2226 Å, with angles of 90.00, 90.00 and 90.00 degrees. Symmetry generates all atoms from Eu at (0.2500, 0.2500, 0.2500), Ho at (0.0000, 0.0000, 0.0000) and Er at (0.0000, 0.0000, 0.5000).

The volume is 34.75 Å³ per atom. The calculation puts the magnetic moment at 3.626 μB per atom. The formation energy is 67 kJ/mol of formula units. The calculation puts the energy above the most stable polymorph in this dataset at 44.5 meV per atom.

# 3
A relaxed EuHoErIn crystal, computed with PBE-GGA.

The space group is F-43m (No. 216) and the conventional cell measures 7.7519, 7.7519 and 7.7519 Å, with angles of 90.00, 90.00 and 90.00 degrees. Symmetry generates all atoms from Eu at (0.0000, 0.0000, 0.0000), Ho at (0.2500, 0.2500, 0.2500), Er at (0.2500, 0.2500, 0.7500) and In at (0.0000, 0.0000, 0.5000).

The volume is 29.11 Å³ per atom. The calculation puts the magnetic moment at 1.863 μB per atom. The formation energy is -39 kJ/mol of formula units.

# 4
A relaxed LaEuHoEr crystal, computed with PBE-GGA.

The space group is F-43m (No. 216) and the conventional cell measures 8.2157, 8.2157 and 8.2157 Å, with angles of 90.00, 90.00 and 90.00 degrees. Symmetry generates all atoms from La at (0.0000, 0.0000, 0.0000), Eu at (0.0000, 0.0000, 0.5000), Ho at (0.2500, 0.2500, 0.7500) and Er at (0.2500, 0.2500, 0.2500).

The volume is 34.66 Å³ per atom. The calculation puts the magnetic moment at 1.769 μB per atom. The formation energy is 56 kJ/mol of formula units.

# 5
A relaxed LiEuHoEr crystal, computed with PBE-GGA.

The space group is F-43m (No. 216) and the conventional cell measures 7.9031, 7.9031 and 7.9031 Å, with angles of 90.00, 90.00 and 90.00 degrees. Symmetry generates all atoms from Li at (0.0000, 0.0000, 0.0000), Eu at (0.2500, 0.2500, 0.2500), Ho at (0.2500, 0.2500, 0.7500) and Er at (0.0000, 0.0000, 0.5000).

The volume is 30.85 Å³ per atom. The calculation puts the magnetic moment at 1.787 μB per atom. The formation energy is 82 kJ/mol of formula units.

# 6
A relaxed PrEuHoEr crystal, computed with PBE-GGA.

The space group is F-43m (No. 216) and the conventional cell measures 8.1786, 8.1786 and 8.1786 Å, with angles of 90.00, 90.00 and 90.00 degrees. Symmetry generates all atoms from Pr at (0.0000, 0.0000, 0.0000), Eu at (0.0000, 0.0000, 0.5000), Ho at (0.2500, 0.2500, 0.2500) and Er at (0.2500, 0.2500, 0.7500).

The volume is 34.19 Å³ per atom. The calculation puts the magnetic moment at 1.758 μB per atom. The formation energy is 56 kJ/mol of formula units.

# 7
A relaxed TbEuHoEr crystal, computed with PBE-GGA.

The space group is F-43m (No. 216) and the conventional cell measures 8.0923, 8.0923 and 8.0923 Å, with angles of 90.00, 90.00 and 90.00 degrees. Symmetry generates all atoms from Tb at (0.0000, 0.0000, 0.0000), Eu at (0.2500, 0.2500, 0.2500), Ho at (0.0000, 0.0000, 0.5000) and Er at (0.2500, 0.2500, 0.7500).

The volume is 33.12 Å³ per atom. The calculation puts the magnetic moment at 2.058 μB per atom. The formation energy is 64 kJ/mol of formula units.

# 8
A relaxed EuEr2In crystal, computed with PBE-GGA.

The space group is Fm-3m (No. 225) and the conventional cell measures 7.7392, 7.7392 and 7.7392 Å, with angles of 90.00, 90.00 and 90.00 degrees. Symmetry generates all atoms from Eu at (0.0000, 0.0000, 0.0000), Er at (0.2500, 0.2500, 0.2500) and In at (0.0000, 0.0000, 0.5000).

The volume is 28.97 Å³ per atom. The calculation puts the magnetic moment at 1.859 μB per atom. The formation energy is -37 kJ/mol of formula units. The calculation puts the energy above the most stable polymorph in this dataset at 104.9 meV per atom.

# 9
A relaxed EuEr2In crystal, computed with PBE-GGA.

The space group is P4/mmm (No. 123) and the conventional cell measures 3.6103, 3.6103 and 9.4342 Å, with angles of 90.00, 90.00 and 90.00 degrees. Symmetry generates all atoms from Eu at (0.0000, 0.0000, 0.0000), Er at (0.5000, 0.5000, 0.2893) and In at (0.0000, 0.0000, 0.5000).

The volume is 30.74 Å³ per atom. The calculation puts the magnetic moment at 1.855 μB per atom. The formation energy is -66 kJ/mol of formula units. The calculation puts the energy above the most stable polymorph in this dataset at 29.9 meV per atom.

# 10
A relaxed EuErIn crystal, computed with PBE-GGA.

The space group is P3m1 (No. 156) and the conventional cell measures 5.3760, 5.3760 and 3.6161 Å, with angles of 90.00, 90.00 and 120.00 degrees. Symmetry generates all atoms from Eu at (0.0000, 0.0000, 0.0000), Er at (0.6667, 0.3333, 0.5705) and In at (0.3333, 0.6667, 0.3722).

The volume is 30.17 Å³ per atom. The calculation puts the magnetic moment at 2.407 μB per atom. The formation energy is -60 kJ/mol of formula units. The calculation puts the energy above the most stable polymorph in this dataset at 40.3 meV per atom.

# 11
A relaxed EuEr2In crystal, computed with PBE-GGA.

The space group is P4/mmm (No. 123) and the conventional cell measures 4.9348, 4.9348 and 4.7947 Å, with angles of 90.00, 90.00 and 90.00 degrees. Symmetry generates all atoms from Eu at (0.0000, 0.0000, 0.0000), Er at (0.0000, 0.5000, 0.5000) and In at (0.5000, 0.5000, 0.0000).

The volume is 29.19 Å³ per atom. The calculation puts the magnetic moment at 1.901 μB per atom. The formation energy is -78 kJ/mol of formula units. The calculation puts the energy above the most stable polymorph in this dataset at 0.0 meV per atom.

# 12
A relaxed EuEr2In crystal, computed with PBE-GGA.

The space group is R-3m (No. 166, hexagonal axes) and the conventional cell measures 3.5429, 3.5429 and 35.4825 Å, with angles of 90.00, 90.00 and 120.00 degrees. Symmetry generates all atoms from Eu at (0.0000, 0.0000, 0.0000), Er at (0.0000, 0.0000, 0.0972) and In at (0.0000, 0.0000, 0.5000).

The volume is 32.14 Å³ per atom. The calculation puts the magnetic moment at 1.911 μB per atom. The formation energy is 18 kJ/mol of formula units. The calculation puts the energy above the most stable polymorph in this dataset at 248.2 meV per atom.

# 13
A relaxed EuErIn crystal, computed with PBE-GGA.

The space group is I4mm (No. 107) and the conventional cell measures 3.7251, 3.7251 and 13.4110 Å, with angles of 90.00, 90.00 and 90.00 degrees. Symmetry generates all atoms from Eu at (0.0000, 0.0000, 0.0000), Er at (0.0000, 0.0000, 0.2992) and In at (0.0000, 0.0000, 0.6632).

The volume is 31.02 Å³ per atom. The calculation puts the magnetic moment at 2.607 μB per atom. The formation energy is -71 kJ/mol of formula units. The calculation puts the energy above the most stable polymorph in this dataset at 0.0 meV per atom.

# 14
A relaxed LiEuErIn crystal, computed with PBE-GGA.

The space group is F-43m (No. 216) and the conventional cell measures 7.6361, 7.6361 and 7.6361 Å, with angles of 90.00, 90.00 and 90.00 degrees. Symmetry generates all atoms from Li at (0.0000, 0.0000, 0.0000), Eu at (0.2500, 0.2500, 0.7500), Er at (0.2500, 0.2500, 0.2500) and In at (0.0000, 0.0000, 0.5000).

The volume is 27.83 Å³ per atom. The calculation puts the magnetic moment at 1.793 μB per atom. The formation energy is -83 kJ/mol of formula units.

# 15
A relaxed EuErLuIn crystal, computed with PBE-GGA.

The space group is F-43m (No. 216) and the conventional cell measures 7.7682, 7.7682 and 7.7682 Å, with angles of 90.00, 90.00 and 90.00 degrees. Symmetry generates all atoms from Eu at (0.0000, 0.0000, 0.0000), Er at (0.0000, 0.0000, 0.5000), Lu at (0.2500, 0.2500, 0.7500) and In at (0.2500, 0.2500, 0.2500).

The volume is 29.30 Å³ per atom. The calculation puts the magnetic moment at 1.875 μB per atom. The formation energy is -43 kJ/mol of formula units.

# 16
A relaxed EuErMgIn crystal, computed with PBE-GGA.

The space group is F-43m (No. 216) and the conventional cell measures 7.6722, 7.6722 and 7.6722 Å, with angles of 90.00, 90.00 and 90.00 degrees. Symmetry generates all atoms from Eu at (0.0000, 0.0000, 0.0000), Er at (0.0000, 0.0000, 0.5000), Mg at (0.2500, 0.2500, 0.7500) and In at (0.2500, 0.2500, 0.2500).

The volume is 28.23 Å³ per atom. The calculation puts the magnetic moment at 1.835 μB per atom. The formation energy is -108 kJ/mol of formula units.

# 17
A relaxed NaEuErIn crystal, computed with PBE-GGA.

The space group is F-43m (No. 216) and the conventional cell measures 7.8220, 7.8220 and 7.8220 Å, with angles of 90.00, 90.00 and 90.00 degrees. Symmetry generates all atoms from Na at (0.0000, 0.0000, 0.0000), Eu at (0.2500, 0.2500, 0.7500), Er at (0.2500, 0.2500, 0.2500) and In at (0.0000, 0.0000, 0.5000).

The volume is 29.91 Å³ per atom. The calculation puts the magnetic moment at 1.811 μB per atom. The formation energy is -44 kJ/mol of formula units.

# 18
A relaxed NdEuErIn crystal, computed with PBE-GGA.

The space group is F-43m (No. 216) and the conventional cell measures 7.8616, 7.8616 and 7.8616 Å, with angles of 90.00, 90.00 and 90.00 degrees. Symmetry generates all atoms from Nd at (0.0000, 0.0000, 0.0000), Eu at (0.2500, 0.2500, 0.7500), Er at (0.0000, 0.0000, 0.5000) and In at (0.2500, 0.2500, 0.2500).

The volume is 30.37 Å³ per atom. The calculation puts the magnetic moment at 1.881 μB per atom. The formation energy is -50 kJ/mol of formula units.

# 19
A relaxed PmEuErIn crystal, computed with PBE-GGA.

The space group is F-43m (No. 216) and the conventional cell measures 7.8728, 7.8728 and 7.8728 Å, with angles of 90.00, 90.00 and 90.00 degrees. Symmetry generates all atoms from Pm at (0.0000, 0.0000, 0.0000), Eu at (0.2500, 0.2500, 0.7500), Er at (0.2500, 0.2500, 0.2500) and In at (0.0000, 0.0000, 0.5000).

The volume is 30.50 Å³ per atom. The calculation puts the magnetic moment at 1.950 μB per atom. The formation energy is -27 kJ/mol of formula units.

# 20
A relaxed EuErInPt crystal, computed with PBE-GGA.

The space group is F-43m (No. 216) and the conventional cell measures 7.3348, 7.3348 and 7.3348 Å, with angles of 90.00, 90.00 and 90.00 degrees. Symmetry generates all atoms from Eu at (0.0000, 0.0000, 0.0000), Er at (0.0000, 0.0000, 0.5000), In at (0.2500, 0.2500, 0.7500) and Pt at (0.2500, 0.2500, 0.2500).

The volume is 24.66 Å³ per atom. The calculation puts the magnetic moment at 1.740 μB per atom. The formation energy is -250 kJ/mol of formula units.